[1]
VASP calculation (GGA-PBE) on an optimized crystal structure of Hg4Te.

Summary:
E above lowest polymorph, eV/f.u.: 0.50
Uncorrected formation energy, meV per atom: 215

abc: 7.376 7.376 7.376
angles: 90.00 90.00 90.00
Space group Im-3m (No. 229)
Unique sites:
Hg: 0.250 0.250 0.250 x8
Te: 0.000 0.000 0.000 x2



[2]
VASP calculation (GGA-PBE) on an optimized crystal structure of Pm2Nd2Y6Ho.

Summary:
Energy of formation from the pure elements, eV per atom: 0.136

abc: 5.721 12.150 10.602
angles: 90.00 90.00 90.00
Space group Cmmm (No. 65)
Unique sites:
Pm: 0.000 0.209 0.000 x4
Nd: 0.000 0.131 0.500 x4
Y: 0.000 0.000 0.201 x4
Y: 0.000 0.349 0.297 x8
Ho: 0.000 0.500 0.000 x2



[3]
VASP calculation (GGA-PBE) on an optimized crystal structure of Cd2CoPd.

Summary:
Energy of formation from the pure elements, eV per atom: 0.351

abc: 7.285 7.285 5.530
angles: 90.00 90.00 90.00
Space group I-42d (No. 122)
Unique sites:
Cd: 0.238 0.250 0.125 x8
Co: 0.000 0.000 0.000 x4
Pd: 0.000 0.000 0.500 x4



[4]
VASP calculation (GGA-PBE) on an optimized crystal structure of AsPCl2F.

Summary:
E above lowest polymorph, eV/f.u.: 0.00
Uncorrected formation energy, meV per atom: 192

abc: 4.811 4.811 5.148
angles: 90.00 90.00 90.00
Space group P4/mmm (No. 123)
Unique sites:
As: 0.000 0.000 0.000 x1
P: 0.000 0.000 0.500 x1
Cl: 0.000 0.500 0.000 x2
F: 0.500 0.500 0.500 x1



| no. | calculated volume (Å³/cell) |
| --- | --- |
| 1 | 401.3 |
| 2 | 737.0 |
| 3 | 293.5 |
| 4 | 119.2 |